(1)
This record from the Alexandria database describes a geometry-optimized KFeGe2B structure. The functional is GGA-PBE.

abc: 4.668 4.055 4.668
angles: 90.00 90.00 90.00
Sites, in units of the cell vectors:
K  0.500  0.500  0.500
Ge  0.000  0.000  0.500
Ge  0.500  0.000  0.000
B  0.000  0.500  0.000
Fe  0.000  0.000  0.000

Properties
- Symmetry: No. 123

(2)
This record from the Alexandria database describes a geometry-optimized Li2FeGeB structure. The functional is GGA-PBE.

abc: 4.042 4.005 4.042
angles: 90.00 90.00 90.00
Sites, in units of the cell vectors:
Ge  0.000  0.500  0.000
B  0.000  0.000  0.000
Fe  0.500  0.500  0.500
Li  0.000  0.000  0.500
Li  0.500  0.000  0.000

Properties
- Symmetry: No. 123

(3)
This record from the Alexandria database describes a geometry-optimized MgFeGe2B structure. The functional is GGA-PBE.

abc: 4.424 3.841 4.424
angles: 90.00 90.00 90.00
Last column: magnetic moment on the atom in μB.
Sites, in units of the cell vectors:
Mg  0.500  0.500  0.500  -0.01
Ge  0.000  0.000  0.500  -0.01
Ge  0.500  0.000  0.000  -0.02
B  0.000  0.000  0.000  -0.06
Fe  0.000  0.500  0.000  1.61

Properties
- Symmetry: No. 123

(4)
This record from the Alexandria database describes a geometry-optimized NbFe2GeB structure. The functional is GGA-PBE.

abc: 4.154 4.825 4.154
angles: 90.00 90.00 90.00
Sites, in units of the cell vectors:
Nb  0.000  0.500  0.000
B  0.500  0.500  0.500
Ge  0.000  0.000  0.000
Fe  0.000  0.000  0.500
Fe  0.500  0.000  0.000

Properties
- Symmetry: No. 123

One value per record, in order, for formation energy: 458; 824; 477; 1772 meV per atom.